BaAc3Pm: optimized geometry, PBE.

The value obtained for the density of states at the Fermi level is 9.38 states/eV/f.u. As for the space-group type: No. 11. As for the total magnetic moment: 0.000 μB per formula unit. The calculation puts the calculated volume at 44.75 Å³/atom. Its formation energy is 0.10 eV per atom.

a = 5.669 Å, b = 12.540 Å, c = 8.916 Å
α = 135.08°, β = 90.00°, γ = 90.00°
Element x y z (fractional)
Ba  0.750  0.247  0.989
Ba  0.250  0.753  0.011
Ac  0.250  0.149  0.202
Ac  0.750  0.851  0.798
Ac  0.750  0.439  0.592
Ac  0.250  0.561  0.408
Ac  0.250  0.337  0.780
Ac  0.750  0.663  0.220
Pm  0.250  0.946  0.597
Pm  0.750  0.054  0.403